1.
# Si2NiMo

Crystalline Si2NiMo at its relaxed geometry (GGA-PBE, the Alexandria database).

Unit cell a=5.9700 b=5.9700 c=5.9700 alpha=90.00 beta=90.00 gamma=90.00
Space group F-43m (No. 216)
Symmetry-distinct sites (fractional):
Si 0.0000 0.0000 0.0000 (multiplicity 4)
Si 0.2500 0.2500 0.2500 (multiplicity 4)
Ni 0.2500 0.2500 0.7500 (multiplicity 4)
Mo 0.0000 0.0000 0.5000 (multiplicity 4)

Calculated values
E_tot ... -0.24568 Ha/atom
Uncorrected formation energy ... 0.1794 eV/atom
Magnetic moment ... 0.000 μB per atom

2.
# SiNiMo2

Crystalline SiNiMo2 at its relaxed geometry (GGA-PBE, the Alexandria database).

Unit cell a=2.7420 b=2.7420 c=7.2813 alpha=90.00 beta=90.00 gamma=90.00
Space group P4mm (No. 99)
Symmetry-distinct sites (fractional):
Si 0.0000 0.0000 0.0000 (multiplicity 1)
Ni 0.5000 0.5000 0.8194 (multiplicity 1)
Mo 0.0000 0.0000 0.5581 (multiplicity 1)
Mo 0.5000 0.5000 0.2546 (multiplicity 1)

Calculated values
E_tot ... -0.30348 Ha/atom
Uncorrected formation energy ... -0.0414 eV/atom
Magnetic moment ... 0.000 μB per atom

3.
# SiNi2Mo

Crystalline SiNi2Mo at its relaxed geometry (GGA-PBE, the Alexandria database).

Unit cell a=2.6672 b=3.6617 c=5.1067 alpha=90.00 beta=90.00 gamma=90.00
Space group Pmmm (No. 47)
Symmetry-distinct sites (fractional):
Si 0.0000 0.0000 0.0000 (multiplicity 1)
Ni 0.5000 0.5000 0.2416 (multiplicity 2)
Mo 0.0000 0.0000 0.5000 (multiplicity 1)

Calculated values
E_tot ... -0.26149 Ha/atom
Uncorrected formation energy ... -0.1614 eV/atom
Magnetic moment ... 0.000 μB per atom

4.
# SiNi2Mo

Crystalline SiNi2Mo at its relaxed geometry (GGA-PBE, the Alexandria database).

Unit cell a=2.6672 b=2.6672 c=24.3735 alpha=90.00 beta=90.00 gamma=120.00
Space group R-3m (No. 166, hexagonal axes)
Symmetry-distinct sites (fractional):
Si 0.0000 0.0000 0.0000 (multiplicity 3)
Ni 0.0000 0.0000 0.2579 (multiplicity 6)
Mo 0.0000 0.0000 0.5000 (multiplicity 3)

Calculated values
E_tot ... -0.25931 Ha/atom
Uncorrected formation energy ... -0.1020 eV/atom
Magnetic moment ... 0.000 μB per atom

5.
# SiNiMo

Crystalline SiNiMo at its relaxed geometry (GGA-PBE, the Alexandria database).

Unit cell a=4.0207 b=4.0207 c=2.7870 alpha=90.00 beta=90.00 gamma=120.00
Space group P-6m2 (No. 187)
Symmetry-distinct sites (fractional):
Si 0.0000 0.0000 0.0000 (multiplicity 1)
Ni 0.3333 0.6667 0.0000 (multiplicity 1)
Mo 0.6667 0.3333 0.5000 (multiplicity 1)

Calculated values
E_tot ... -0.28047 Ha/atom
Uncorrected formation energy ... -0.2868 eV/atom
Offset from the most stable computed form ... 0.177 eV per atom
Magnetic moment ... 0.003 μB per atom

6.
# SiNiMo

Crystalline SiNiMo at its relaxed geometry (GGA-PBE, the Alexandria database).

Unit cell a=6.1077 b=3.6102 c=10.5210 alpha=90.00 beta=90.56 gamma=90.00
Space group P2_1/m (No. 11)
Symmetry-distinct sites (fractional):
Si 0.2323 0.2500 0.2517 (multiplicity 2)
Si 0.2659 0.7500 0.9156 (multiplicity 2)
Si 0.2680 0.2500 0.5880 (multiplicity 2)
Ni 0.1381 0.7500 0.7025 (multiplicity 2)
Ni 0.3524 0.2500 0.0400 (multiplicity 2)
Ni 0.4907 0.2500 0.4145 (multiplicity 2)
Mo 0.0273 0.7500 0.1208 (multiplicity 2)
Mo 0.1426 0.7500 0.4201 (multiplicity 2)
Mo 0.4773 0.2500 0.7904 (multiplicity 2)

Calculated values
E_tot ... -0.28698 Ha/atom
Uncorrected formation energy ... -0.4639 eV/atom
Offset from the most stable computed form ... 0.000 eV per atom
Magnetic moment ... 0.000 μB per atom

7.
# SiNi2Mo

Crystalline SiNi2Mo at its relaxed geometry (GGA-PBE, the Alexandria database).

Unit cell a=2.7515 b=4.2730 c=8.5062 alpha=90.00 beta=90.00 gamma=90.00
Space group Imm2 (No. 44)
Symmetry-distinct sites (fractional):
Si 0.0000 0.0000 0.0000 (multiplicity 2)
Ni 0.0000 0.0000 0.4761 (multiplicity 2)
Ni 0.0000 0.5000 0.7124 (multiplicity 2)
Mo 0.0000 0.5000 0.2484 (multiplicity 2)

Calculated values
E_tot ... -0.26188 Ha/atom
Uncorrected formation energy ... -0.1719 eV/atom
Magnetic moment ... 0.000 μB per atom

8.
# Si3NiMo12

Crystalline Si3NiMo12 at its relaxed geometry (GGA-PBE, the Alexandria database).

Unit cell a=4.9048 b=4.9100 c=9.8694 alpha=90.00 beta=90.00 gamma=90.00
Space group Pmmm (No. 47)
Symmetry-distinct sites (fractional):
Si 0.0000 0.0000 0.0000 (multiplicity 1)
Si 0.5000 0.5000 0.2506 (multiplicity 2)
Ni 0.0000 0.0000 0.5000 (multiplicity 1)
Mo 0.0000 0.2513 0.2511 (multiplicity 4)
Mo 0.2486 0.5000 0.0000 (multiplicity 2)
Mo 0.2523 0.5000 0.5000 (multiplicity 2)
Mo 0.5000 0.0000 0.1244 (multiplicity 2)
Mo 0.5000 0.0000 0.3749 (multiplicity 2)

Calculated values
E_tot ... -0.35803 Ha/atom
Uncorrected formation energy ... -0.2411 eV/atom
Magnetic moment ... 0.000 μB per atom